# 1
{"formula": "PmErReO6", "functional": "PBE", "state": "optimized geometry", "sg": "P-31c, No. 163", "total_energy_ry_per_atom": -0.610, "e_form_raw_ev_per_atom": -2.580, "lattice": [[-5.521, 0.594, 0.608], [2.841, -3.373, 3.429], [1.404, 7.096, 5.815]], "species": ["Pm", "Pm", "Re", "Re", "O", "O", "O", "O", "O", "O", "O", "O", "O", "O", "O", "O", "Er", "Er"], "frac_coords": [[0.333, 0.667, 0.250], [0.667, 0.333, 0.750], [0.333, 0.667, 0.750], [0.667, 0.333, 0.250], [0.630, 0.686, 0.632], [0.686, 0.630, 0.132], [0.370, 0.056, 0.132], [0.944, 0.314, 0.132], [0.686, 0.056, 0.368], [0.630, 0.944, 0.868], [0.944, 0.630, 0.368], [0.370, 0.314, 0.368], [0.314, 0.370, 0.868], [0.314, 0.944, 0.632], [0.056, 0.370, 0.632], [0.056, 0.686, 0.868], [0.000, 0.000, 0.000], [0.000, 0.000, 0.500]]}

=====

# 2
{"formula": "LaPtW4", "functional": "PBE", "state": "optimized geometry", "sg": "F-43m, No. 216", "total_energy_ry_per_atom": -0.734, "lattice": [[-3.946, -0.946, 3.653], [-5.190, 1.177, -1.221], [-3.588, -4.029, -0.840]], "species": ["W", "W", "W", "W", "Pt", "La"], "frac_coords": [[0.872, 0.376, 0.376], [0.376, 0.376, 0.872], [0.376, 0.376, 0.376], [0.376, 0.872, 0.376], [0.000, 0.000, 0.000], [0.750, 0.750, 0.750]]}

=====

# 3
{"formula": "CaCd2InF", "functional": "PBE", "state": "optimized geometry", "sg": "P4/mmm, No. 123", "total_energy_ry_per_atom": -0.180, "e_form_raw_ev_per_atom": -0.761, "lattice": [[-5.193, 3.145, -1.428], [0.972, -1.143, -6.053], [-2.214, -3.517, 0.309]], "species": ["Ca", "Cd", "Cd", "F", "In"], "frac_coords": [[0.000, 0.000, 0.000], [0.500, 0.000, 0.000], [0.000, 0.500, 0.000], [0.000, 0.000, 0.500], [0.500, 0.500, 0.500]]}

=====

# 4
{"formula": "Li2YFe", "functional": "PBE", "state": "optimized geometry", "relative_energy_ev_per_atom": 0.000, "sg": "P4mm, No. 99", "total_energy_ry_per_atom": -0.327, "lattice": [[3.346, 0.000, 0.000], [0.000, 3.346, 0.000], [0.000, 0.000, 7.016]], "species": ["Y", "Li", "Li", "Fe"], "frac_coords": [[0.000, 0.000, 0.545], [0.000, 0.000, 0.979], [0.500, 0.500, 0.189], [0.500, 0.500, 0.786]]}

=====

# 5
{"formula": "OsAu", "functional": "PBE", "state": "optimized geometry", "relative_energy_ev_per_atom": 0.406, "sg": "R-3m, No. 166", "total_energy_ry_per_atom": -0.482, "lattice": [[4.913, -0.011, -0.007], [4.113, 2.688, -0.007], [4.113, 1.220, 2.395]], "species": ["Os", "Au"], "frac_coords": [[0.500, 0.500, 0.500], [0.000, 0.000, 0.000]]}

=====

# 6
{"formula": "TbPu4P5", "functional": "PBE", "state": "optimized geometry", "sg": "Immm, No. 71", "total_energy_ry_per_atom": -0.743, "lattice": [[3.930, 0.000, -0.758], [-0.291, 5.429, -1.507], [-0.001, -0.001, 10.557]], "species": ["P", "P", "P", "P", "P", "Pu", "Pu", "Pu", "Pu", "Tb"], "frac_coords": [[0.602, 0.102, 0.204], [0.200, 0.700, 0.399], [0.398, 0.898, 0.796], [0.000, 0.500, 0.000], [0.800, 0.300, 0.601], [0.799, 0.799, 0.599], [0.201, 0.201, 0.401], [0.599, 0.599, 0.197], [0.401, 0.401, 0.803], [0.000, 0.000, 0.000]]}

=====

# 7
{"formula": "Ce5U3S8", "functional": "PBE", "state": "optimized geometry", "sg": "R-3m, No. 166", "total_energy_ry_per_atom": -0.574, "e_form_raw_ev_per_atom": -1.779, "lattice": [[-6.202, 0.891, 4.801], [-0.026, -3.455, 7.097], [0.694, 4.451, 6.559]], "species": ["U", "U", "U", "S", "S", "S", "S", "S", "S", "S", "S", "Ce", "Ce", "Ce", "Ce", "Ce"], "frac_coords": [[0.000, 0.000, 0.500], [0.500, 0.000, 0.500], [0.000, 0.500, 0.500], [0.247, 0.247, 0.260], [0.750, 0.750, 0.257], [0.750, 0.243, 0.257], [0.243, 0.750, 0.257], [0.250, 0.250, 0.743], [0.250, 0.757, 0.743], [0.753, 0.753, 0.740], [0.757, 0.250, 0.743], [0.000, 0.500, 0.000], [0.000, 0.000, 0.000], [0.500, 0.000, 0.000], [0.500, 0.500, 0.500], [0.500, 0.500, 0.000]]}

=====

# 8
{"formula": "Nd4Bi3Br", "functional": "PBE", "state": "optimized geometry", "sg": "I4/mmm, No. 139", "total_energy_ry_per_atom": -0.371, "e_form_raw_ev_per_atom": -0.997, "lattice": [[5.882, 0.005, -2.607], [-1.161, 5.766, -2.607], [-0.017, -0.020, 7.901]], "species": ["Nd", "Nd", "Nd", "Nd", "Bi", "Bi", "Bi", "Br"], "frac_coords": [[0.000, 0.500, 0.000], [0.256, 0.256, 0.513], [0.500, 0.000, 0.000], [0.744, 0.744, 0.487], [0.750, 0.250, 0.500], [0.250, 0.750, 0.500], [0.500, 0.500, 0.000], [0.000, 0.000, 0.000]]}

=====

# 9
{"formula": "KPtSe2", "functional": "PBE", "state": "optimized geometry", "sg": "P2/m, No. 10", "total_energy_ry_per_atom": -0.304, "e_form_raw_ev_per_atom": -0.605, "lattice": [[3.907, 0.000, 0.000], [0.000, 4.996, -0.250], [0.000, 0.324, 6.023]], "species": ["Se", "Se", "Pt", "K"], "frac_coords": [[0.000, 0.750, 0.501], [0.000, 0.750, 0.999], [0.500, 0.750, 0.750], [0.500, 0.250, 0.250]]}

=====

# 10
{"formula": "CePm3In3", "functional": "PBE", "state": "optimized geometry", "sg": "P6_3/m, No. 176", "total_energy_ry_per_atom": -0.310, "lattice": [[-3.636, 0.788, -4.226], [-4.658, -7.399, 2.628], [-2.162, 8.197, 3.388]], "species": ["Ce", "Ce", "Pm", "Pm", "Pm", "Pm", "Pm", "Pm", "In", "In", "In", "In", "In", "In"], "frac_coords": [[0.750, 0.333, 0.667], [0.250, 0.667, 0.333], [0.750, 0.911, 0.365], [0.250, 0.546, 0.911], [0.750, 0.454, 0.089], [0.250, 0.365, 0.454], [0.750, 0.635, 0.546], [0.250, 0.089, 0.635], [0.750, 0.044, 0.816], [0.250, 0.956, 0.184], [0.250, 0.228, 0.044], [0.750, 0.184, 0.228], [0.250, 0.816, 0.772], [0.750, 0.772, 0.956]]}

=====

# 11
{"formula": "TePt2Cl", "functional": "PBE", "state": "optimized geometry", "relative_energy_ev_per_atom": 0.694, "sg": "F-43m, No. 216", "total_energy_ry_per_atom": -0.280, "e_form_raw_ev_per_atom": 0.454, "lattice": [[-2.859, -0.772, 3.706], [0.609, -3.851, 2.704], [1.671, 0.443, 4.418]], "species": ["Pt", "Pt", "Cl", "Te"], "frac_coords": [[0.000, 0.000, 0.000], [0.750, 0.750, 0.750], [0.500, 0.500, 0.500], [0.250, 0.250, 0.250]]}

=====

# 12
{"formula": "CoHgRu", "functional": "PBE", "state": "optimized geometry", "relative_energy_ev_per_atom": 0.315, "sg": "F-43m, No. 216", "total_energy_ry_per_atom": -0.356, "lattice": [[-1.966, -3.374, -1.512], [-2.288, -2.408, 2.550], [-4.175, -0.020, -0.326]], "species": ["Ru", "Hg", "Co"], "frac_coords": [[0.500, 0.500, 0.500], [0.000, 0.000, 0.000], [0.750, 0.750, 0.750]]}

=====

# 13
{"formula": "Pm3Te12Pd5", "functional": "PBE", "state": "optimized geometry", "sg": "Ia-3d, No. 230", "total_energy_ry_per_atom": -0.330, "e_form_raw_ev_per_atom": -0.591, "lattice": [[14.683, 0.000, 0.000], [-4.894, 13.844, 0.000], [-4.894, -6.922, 11.989]], "species": ["Pm", "Pm", "Pm", "Pm", "Pm", "Pm", "Pm", "Pm", "Pm", "Pm", "Pm", "Pm", "Te", "Te", "Te", "Te", "Te", "Te", "Te", "Te", "Te", "Te", "Te", "Te", "Te", "Te", "Te", "Te", "Te", "Te", "Te", "Te", "Te", "Te", "Te", "Te", "Te", "Te", "Te", "Te", "Te", "Te", "Te", "Te", "Te", "Te", "Te", "Te", "Te", "Te", "Te", "Te", "Te", "Te", "Te", "Te", "Te", "Te", "Te", "Te", "Pd", "Pd", "Pd", "Pd", "Pd", "Pd", "Pd", "Pd", "Pd", "Pd", "Pd", "Pd", "Pd", "Pd", "Pd", "Pd", "Pd", "Pd", "Pd", "Pd"], "frac_coords": [[0.125, 0.250, 0.875], [0.125, 0.875, 0.750], [0.750, 0.375, 0.125], [0.375, 0.750, 0.625], [0.625, 0.375, 0.750], [0.250, 0.625, 0.875], [0.625, 0.250, 0.375], [0.375, 0.625, 0.250], [0.250, 0.125, 0.375], [0.750, 0.875, 0.625], [0.875, 0.125, 0.250], [0.875, 0.750, 0.125], [0.206, 0.535, 0.623], [0.877, 0.584, 0.912], [0.588, 0.965, 0.672], [0.794, 0.465, 0.377], [0.672, 0.465, 0.588], [0.328, 0.794, 0.416], [0.377, 0.412, 0.084], [0.916, 0.088, 0.623], [0.535, 0.328, 0.912], [0.465, 0.672, 0.088], [0.535, 0.206, 0.123], [0.672, 0.206, 0.584], [0.916, 0.828, 0.794], [0.584, 0.877, 0.412], [0.412, 0.035, 0.328], [0.412, 0.377, 0.584], [0.206, 0.672, 0.084], [0.794, 0.328, 0.916], [0.088, 0.172, 0.465], [0.035, 0.412, 0.828], [0.706, 0.584, 0.172], [0.877, 0.294, 0.465], [0.912, 0.828, 0.535], [0.623, 0.588, 0.916], [0.588, 0.623, 0.416], [0.328, 0.535, 0.412], [0.623, 0.035, 0.206], [0.465, 0.794, 0.877], [0.294, 0.416, 0.828], [0.035, 0.623, 0.706], [0.965, 0.377, 0.294], [0.912, 0.084, 0.877], [0.294, 0.877, 0.965], [0.123, 0.706, 0.535], [0.084, 0.172, 0.206], [0.828, 0.912, 0.035], [0.416, 0.123, 0.588], [0.172, 0.088, 0.965], [0.088, 0.916, 0.123], [0.123, 0.416, 0.088], [0.416, 0.294, 0.328], [0.172, 0.084, 0.706], [0.084, 0.912, 0.377], [0.377, 0.965, 0.794], [0.965, 0.588, 0.172], [0.706, 0.123, 0.035], [0.584, 0.706, 0.672], [0.828, 0.916, 0.294], [0.250, 0.375, 0.625], [0.250, 0.875, 0.125], [0.000, 0.000, 0.000], [0.500, 0.000, 0.500], [0.125, 0.375, 0.250], [0.375, 0.125, 0.750], [0.875, 0.250, 0.625], [0.000, 0.500, 0.500], [0.000, 0.500, 0.000], [0.625, 0.750, 0.875], [0.625, 0.875, 0.250], [0.375, 0.250, 0.125], [0.750, 0.625, 0.375], [0.875, 0.625, 0.750], [0.500, 0.000, 0.000], [0.750, 0.125, 0.875], [0.125, 0.750, 0.375], [0.000, 0.000, 0.500], [0.500, 0.500, 0.000], [0.500, 0.500, 0.500]]}

=====

# 14
{"formula": "Rb2MgNbCl", "functional": "PBE", "state": "optimized geometry", "sg": "P4/mmm, No. 123", "total_energy_ry_per_atom": -0.187, "e_form_raw_ev_per_atom": 0.551, "lattice": [[6.946, 0.000, 0.000], [0.000, 5.639, 0.000], [0.000, 0.000, 6.946]], "species": ["Rb", "Rb", "Mg", "Nb", "Cl"], "frac_coords": [[0.500, 0.000, 0.000], [0.000, 0.000, 0.500], [0.000, 0.500, 0.000], [0.000, 0.000, 0.000], [0.500, 0.500, 0.500]]}

=====

# 15
{"formula": "BaBeCo", "functional": "PBE", "state": "optimized geometry", "relative_energy_ev_per_atom": 1.185, "sg": "F-43m, No. 216", "total_energy_ry_per_atom": -0.194, "lattice": [[-0.770, 3.246, -3.823], [-0.549, -1.741, -4.734], [-4.532, 0.215, -2.272]], "species": ["Co", "Be", "Ba"], "frac_coords": [[0.500, 0.500, 0.500], [0.000, 0.000, 0.000], [0.750, 0.750, 0.750]]}

=====

# 16
{"formula": "HoZrAg", "functional": "PBE", "state": "optimized geometry", "relative_energy_ev_per_atom": 0.000, "sg": "I4mm, No. 107", "total_energy_ry_per_atom": -0.398, "lattice": [[3.368, 0.000, 0.000], [0.000, 3.368, 0.000], [-1.684, -1.684, 6.238]], "species": ["Zr", "Ho", "Ag"], "frac_coords": [[0.323, 0.323, 0.645], [0.003, 0.003, 0.007], [0.674, 0.674, 0.348]]}

=====

# 17
{"formula": "LaEr2Sb", "functional": "PBE", "state": "optimized geometry", "relative_energy_ev_per_atom": 0.030, "sg": "P4/mmm, No. 123", "total_energy_ry_per_atom": -0.368, "e_form_raw_ev_per_atom": -0.463, "lattice": [[-0.753, -1.648, -3.511], [-0.486, -3.508, 1.750], [-7.342, 1.461, 0.888]], "species": ["La", "Er", "Er", "Sb"], "frac_coords": [[0.500, 0.500, 0.000], [0.000, 0.000, 0.288], [0.000, 0.000, 0.712], [0.500, 0.500, 0.500]]}

=====

# 18
{"formula": "Hg2ClF", "functional": "PBE", "state": "optimized geometry", "relative_energy_ev_per_atom": 0.310, "sg": "Fm-3m, No. 225", "total_energy_ry_per_atom": -0.107, "e_form_raw_ev_per_atom": -0.370, "lattice": [[0.000, 3.456, 3.456], [3.456, 0.000, 3.456], [3.456, 3.456, 0.000]], "species": ["Hg", "Hg", "Cl", "F"], "frac_coords": [[0.250, 0.250, 0.250], [0.750, 0.750, 0.750], [0.500, 0.500, 0.500], [0.000, 0.000, 0.000]]}

=====

# 19
{"formula": "RbTl10Sb3", "functional": "PBE", "state": "optimized geometry", "sg": "Fm-3m, No. 225", "total_energy_ry_per_atom": -0.192, "e_form_raw_ev_per_atom": 0.028, "lattice": [[9.835, 0.000, 5.678], [3.278, 9.272, 5.678], [0.000, 0.000, 11.356]], "species": ["Tl", "Tl", "Tl", "Tl", "Tl", "Tl", "Tl", "Tl", "Tl", "Tl", "Tl", "Tl", "Tl", "Tl", "Tl", "Tl", "Tl", "Tl", "Tl", "Tl", "Rb", "Rb", "Sb", "Sb", "Sb", "Sb", "Sb", "Sb"], "frac_coords": [[0.000, 0.000, 0.351], [0.000, 0.649, 0.000], [0.000, 0.351, 0.649], [0.351, 0.000, 0.649], [0.621, 0.621, 0.138], [0.379, 0.379, 0.862], [0.649, 0.000, 0.351], [0.000, 0.351, 0.000], [0.649, 0.000, 0.000], [0.621, 0.621, 0.621], [0.379, 0.862, 0.379], [0.351, 0.649, 0.000], [0.138, 0.621, 0.621], [0.000, 0.000, 0.649], [0.621, 0.138, 0.621], [0.862, 0.379, 0.379], [0.379, 0.379, 0.379], [0.351, 0.000, 0.000], [0.000, 0.649, 0.351], [0.649, 0.351, 0.000], [0.750, 0.750, 0.750], [0.250, 0.250, 0.250], [0.721, 0.279, 0.721], [0.721, 0.721, 0.279], [0.279, 0.721, 0.721], [0.279, 0.721, 0.279], [0.279, 0.279, 0.721], [0.721, 0.279, 0.279]]}

=====

# 20
{"formula": "K2CdPt2", "functional": "PBE", "state": "optimized geometry", "relative_energy_ev_per_atom": 0.000, "sg": "C2/c, No. 15", "total_energy_ry_per_atom": -0.235, "lattice": [[-5.451, 2.341, -2.600], [0.122, -3.027, 5.088], [1.852, 7.788, 3.131]], "species": ["Pt", "Pt", "Pt", "Pt", "K", "K", "K", "K", "Cd", "Cd"], "frac_coords": [[0.002, 0.722, 0.993], [0.998, 0.278, 0.007], [0.720, 0.722, 0.493], [0.280, 0.278, 0.507], [0.484, 0.711, 0.855], [0.228, 0.711, 0.355], [0.516, 0.289, 0.145], [0.772, 0.289, 0.645], [0.921, 0.000, 0.250], [0.079, 0.000, 0.750]]}